one.
Crystalline NaMnP2S at its relaxed geometry, computed with PBE.

```
NaMnP2S
1.0
4.2978 0.0000 0.0000
0.0000 4.2978 0.0000
0.0000 0.0000 5.2597
P Mn S Na
2 1 1 1
Direct
0.0000 0.5000 0.0000 P
0.5000 0.0000 0.0000 P
0.0000 0.0000 0.0000 Mn
0.0000 0.0000 0.5000 S
0.5000 0.5000 0.5000 Na
```

=====

two.
Crystalline NaMnP2S at its relaxed geometry, computed with PBE.

```
NaMnP2S
1.0
4.7714 0.0000 0.0000
0.0000 4.7714 0.0000
0.0000 0.0000 4.6804
Mn P Na S
1 2 1 1
Direct
0.5000 0.5000 0.5000 Mn
0.5000 0.0000 0.0000 P
0.0000 0.5000 0.0000 P
0.0000 0.0000 0.0000 Na
0.0000 0.0000 0.5000 S
```

=====

Stability check: which of them is most stable? one.

=====

one.
Crystalline NaMnPb3 at its relaxed geometry, computed with PBE.

```
NaMnPb3
1.0
-3.6297 -3.2333 2.1590
-1.8831 -1.1220 -4.8462
3.4014 -4.0715 -0.3790
Na Pb Mn
1 3 1
Direct
0.5000 0.5000 0.5000 Na
0.0000 0.5000 0.0000 Pb
0.5000 0.0000 0.0000 Pb
0.0000 0.0000 0.5000 Pb
0.0000 0.0000 0.0000 Mn
```

=====

two.
Crystalline NaMnPb3 at its relaxed geometry, computed with PBE.

```
NaMnPb3
1.0
-3.7663 0.2847 3.9699
-3.9216 -1.1989 -3.6345
0.6798 -5.3392 1.0278
Pb Mn Na
3 1 1
Direct
0.0000 0.5000 0.0000 Pb
0.0000 0.0000 0.5000 Pb
0.5000 0.0000 0.0000 Pb
0.5000 0.5000 0.5000 Mn
0.0000 0.0000 0.0000 Na
```

=====

Stability check: which of them is most stable? one.

=====

one.
Crystalline Na3MnPt at its relaxed geometry, computed with PBE.

```
Na3MnPt
1.0
5.4341 0.0000 0.0000
0.0000 5.4341 0.0000
0.0000 0.0000 5.4341
Na Pt Mn
3 1 1
Direct
0.0000 0.0000 0.5000 Na
0.0000 0.5000 0.0000 Na
0.5000 0.0000 0.0000 Na
0.0000 0.0000 0.0000 Pt
0.5000 0.5000 0.5000 Mn
```

=====

two.
Crystalline Na3MnPt at its relaxed geometry, computed with PBE.

```
Na3MnPt
1.0
-2.0359 3.3517 -3.5897
-4.9014 -1.1420 1.7137
0.3093 3.9657 3.5274
Mn Pt Na
1 1 3
Direct
0.0000 0.0000 0.0000 Mn
0.5000 0.5000 0.5000 Pt
0.0000 0.5000 0.0000 Na
0.5000 0.0000 0.0000 Na
0.0000 0.0000 0.5000 Na
```

=====

Stability check: which of them is most stable? one.

=====

one.
Crystalline NaMn3Pt at its relaxed geometry, computed with PBE.

```
NaMn3Pt
1.0
4.9795 0.0000 0.0000
0.0000 4.9795 0.0000
0.0000 0.0000 4.9795
Na Mn Pt
1 3 1
Direct
0.5000 0.5000 0.5000 Na
0.5000 0.0000 0.0000 Mn
0.0000 0.0000 0.5000 Mn
0.0000 0.5000 0.0000 Mn
0.0000 0.0000 0.0000 Pt
```

=====

two.
Crystalline NaMn3Pt at its relaxed geometry, computed with PBE.

```
NaMn3Pt
1.0
4.1707 0.0000 0.0000
0.0000 4.1707 0.0000
0.0000 0.0000 4.1707
Na Mn Pt
1 3 1
Direct
0.0000 0.0000 0.0000 Na
0.0000 0.0000 0.5000 Mn
0.0000 0.5000 0.0000 Mn
0.5000 0.0000 0.0000 Mn
0.5000 0.5000 0.5000 Pt
```

=====

Stability check: which of them is most stable? one.